This record from Alexandria describes NbCSeBr2 after structural relaxation. The functional is GGA-PBE.

Results
uncorrected formation energy = 106.0 kJ/mol of atoms
final energy = -4.1264 eV/atom
ΔE to the lowest computed polymorph = 0.000 eV per atom

a = 5.2054 Å, b = 5.2054 Å, c = 4.9866 Å
α = 90.00°, β = 90.00°, γ = 90.00°
Element x y z (fractional)
1 Nb 0.0000 0.0000 0.0000
2 C 0.5000 0.5000 0.5000
3 Se 0.0000 0.0000 0.5000
4 Br 0.0000 0.5000 0.0000
5 Br 0.5000 0.0000 0.0000

***

This record from Alexandria describes PuZnP2N6 after structural relaxation. The functional is GGA-PBE.

Results
uncorrected formation energy = -29.6 kJ/mol of atoms
final energy = -7.9443 eV/atom

a = 6.9361 Å, b = 6.9361 Å, c = 4.9483 Å
α = 98.68°, β = 98.68°, γ = 91.36°
Element x y z (fractional)
1 Pu 0.1198 0.8802 0.7500
2 Pu 0.8802 0.1198 0.2500
3 Zn 0.3299 0.6701 0.2500
4 Zn 0.6701 0.3299 0.7500
5 P 0.2223 0.3803 0.7115
6 P 0.3803 0.2223 0.2115
7 P 0.6197 0.7777 0.7885
8 P 0.7777 0.6197 0.2885
9 N 0.0406 0.2110 0.6460
10 N 0.1687 0.5921 0.8642
11 N 0.2110 0.0406 0.1460
12 N 0.2905 0.4024 0.4089
13 N 0.4024 0.2905 0.9089
14 N 0.4079 0.8313 0.6358
15 N 0.5921 0.1687 0.3642
16 N 0.5976 0.7095 0.0911
17 N 0.7095 0.5976 0.5911
18 N 0.7890 0.9594 0.8540
19 N 0.8313 0.4079 0.1358
20 N 0.9594 0.7890 0.3540

***

This record from Alexandria describes CaSm2P after structural relaxation. The functional is GGA-PBE.

Results
calculated formation energy = -0.595 eV/atom
final energy = -4.8076 eV/atom

a = 3.9230 Å, b = 3.9230 Å, c = 31.3254 Å
α = 90.00°, β = 90.00°, γ = 120.00°
Element x y z (fractional)
1 Ca 0.0000 0.0000 0.0000
2 Ca 0.3333 0.6667 0.6667
3 Ca 0.6667 0.3333 0.3333
4 Sm 0.0000 0.0000 0.1155
5 Sm 0.0000 0.0000 0.8845
6 Sm 0.3333 0.6667 0.5512
7 Sm 0.3333 0.6667 0.7821
8 Sm 0.6667 0.3333 0.2179
9 Sm 0.6667 0.3333 0.4488
10 P 0.0000 0.0000 0.5000
11 P 0.3333 0.6667 0.1667
12 P 0.6667 0.3333 0.8333

***

This record from Alexandria describes Ti2CrMoRu after structural relaxation. The functional is GGA-PBE.

Results
calculated formation energy = 0.849 eV/atom
final energy = -8.2547 eV/atom

a = 4.4090 Å, b = 4.4090 Å, c = 4.3693 Å
α = 90.00°, β = 90.00°, γ = 90.00°
Element x y z (fractional)
1 Ti 0.0000 0.5000 0.0000
2 Ti 0.5000 0.0000 0.0000
3 Cr 0.0000 0.0000 0.0000
4 Mo 0.0000 0.0000 0.5000
5 Ru 0.5000 0.5000 0.5000

***

This record from Alexandria describes K12In3I5 after structural relaxation. The functional is GGA-PBE.

Results
uncorrected formation energy = -57.5 kJ/mol of atoms
final energy = -2.0527 eV/atom

a = 18.2293 Å, b = 18.2293 Å, c = 18.2293 Å
α = 109.47°, β = 109.47°, γ = 109.47°
Element x y z (fractional)
1 K 0.0531 0.2230 0.1377
2 K 0.0531 0.3301 0.9154
3 K 0.0846 0.6377 0.4147
4 K 0.0853 0.7230 0.6699
5 K 0.0853 0.8623 0.4154
6 K 0.0846 0.9469 0.6699
7 K 0.1377 0.0531 0.2230
8 K 0.1377 0.5846 0.9147
9 K 0.1699 0.2230 0.5853
10 K 0.1699 0.4469 0.5846
11 K 0.2230 0.1377 0.0531
12 K 0.2230 0.5853 0.1699
13 K 0.2770 0.3301 0.9147
14 K 0.2770 0.4469 0.3623
15 K 0.3301 0.9154 0.0531
16 K 0.3301 0.9147 0.2770
17 K 0.3623 0.2770 0.4469
18 K 0.3623 0.5853 0.9154
19 K 0.4147 0.0846 0.6377
20 K 0.4154 0.0853 0.8623
21 K 0.4154 0.8301 0.5531
22 K 0.4147 0.8301 0.7770
23 K 0.4469 0.3623 0.2770
24 K 0.4469 0.5846 0.1699
25 K 0.5531 0.4154 0.8301
26 K 0.5531 0.6377 0.7230
27 K 0.5853 0.1699 0.2230
28 K 0.5846 0.1699 0.4469
29 K 0.5846 0.9147 0.1377
30 K 0.5853 0.9154 0.3623
31 K 0.6377 0.4147 0.0846
32 K 0.6377 0.7230 0.5531
33 K 0.6699 0.0853 0.7230
34 K 0.6699 0.0846 0.9469
35 K 0.7230 0.5531 0.6377
36 K 0.7230 0.6699 0.0853
37 K 0.7770 0.4147 0.8301
38 K 0.7770 0.8623 0.9469
39 K 0.8301 0.5531 0.4154
40 K 0.8301 0.7770 0.4147
41 K 0.8623 0.4154 0.0853
42 K 0.8623 0.9469 0.7770
43 K 0.9154 0.0531 0.3301
44 K 0.9147 0.1377 0.5846
45 K 0.9147 0.2770 0.3301
46 K 0.9154 0.3623 0.5853
47 K 0.9469 0.6699 0.0846
48 K 0.9469 0.7770 0.8623
49 In 0.1250 0.2500 0.3750
50 In 0.1250 0.3750 0.7500
51 In 0.2500 0.3750 0.1250
52 In 0.2500 0.8750 0.6250
53 In 0.3750 0.1250 0.2500
54 In 0.3750 0.7500 0.1250
55 In 0.6250 0.2500 0.8750
56 In 0.6250 0.8750 0.7500
57 In 0.7500 0.1250 0.3750
58 In 0.7500 0.6250 0.8750
59 In 0.8750 0.6250 0.2500
60 In 0.8750 0.7500 0.6250
61 I 0.0000 0.0000 0.0000
62 I 0.0000 0.0000 0.5000
63 I 0.0000 0.5000 0.0000
64 I 0.0000 0.5000 0.5000
65 I 0.1250 0.7500 0.8750
66 I 0.1250 0.8750 0.2500
67 I 0.2500 0.1250 0.8750
68 I 0.2500 0.6250 0.3750
69 I 0.3750 0.2500 0.6250
70 I 0.3750 0.6250 0.7500
71 I 0.5000 0.0000 0.0000
72 I 0.5000 0.0000 0.5000
73 I 0.5000 0.5000 0.0000
74 I 0.5000 0.5000 0.5000
75 I 0.6250 0.3750 0.2500
76 I 0.6250 0.7500 0.3750
77 I 0.7500 0.3750 0.6250
78 I 0.7500 0.8750 0.1250
79 I 0.8750 0.1250 0.7500
80 I 0.8750 0.2500 0.1250

***

This record from Alexandria describes In3Bi2Pb6 after structural relaxation. The functional is GGA-PBE.

Results
calculated formation energy = 0.022 eV/atom
final energy = -3.4527 eV/atom

a = 5.2251 Å, b = 5.8626 Å, c = 12.6878 Å
α = 89.56°, β = 78.31°, γ = 63.55°
Element x y z (fractional)
1 In 0.0000 0.0000 0.0000
2 In 0.4562 0.4521 0.6368
3 In 0.5438 0.5479 0.3632
4 Bi 0.0989 0.0778 0.7245
5 Bi 0.9011 0.9222 0.2755
6 Pb 0.1818 0.1814 0.4556
7 Pb 0.2742 0.2706 0.1801
8 Pb 0.3609 0.3690 0.9099
9 Pb 0.6391 0.6310 0.0901
10 Pb 0.7258 0.7294 0.8199
11 Pb 0.8182 0.8186 0.5444

***

This record from Alexandria describes PrPu5Pt6 after structural relaxation. The functional is GGA-PBE.

Results
calculated formation energy = -0.737 eV/atom
final energy = -10.1275 eV/atom

a = 8.6659 Å, b = 8.6659 Å, c = 8.6659 Å
α = 146.44°, β = 132.03°, γ = 59.82°
Element x y z (fractional)
1 Pr 0.0000 0.0000 0.0000
2 Pu 0.1619 0.6619 0.5000
3 Pu 0.3304 0.3304 0.0000
4 Pu 0.5000 0.0000 0.5000
5 Pu 0.6696 0.6696 0.0000
6 Pu 0.8381 0.3381 0.5000
7 Pt 0.0878 0.8281 0.2597
8 Pt 0.2672 0.5000 0.7672
9 Pt 0.4316 0.1719 0.2597
10 Pt 0.5684 0.8281 0.7403
11 Pt 0.7328 0.5000 0.2328
12 Pt 0.9122 0.1719 0.7403

***

This record from Alexandria describes Ta2Rh after structural relaxation. The functional is GGA-PBE.

Results
calculated formation energy = 0.333 eV/atom
final energy = -10.0193 eV/atom

a = 4.2406 Å, b = 4.2406 Å, c = 3.2566 Å
α = 90.00°, β = 90.00°, γ = 90.00°
Element x y z (fractional)
1 Ta 0.0000 0.5000 0.0000
2 Ta 0.5000 0.0000 0.0000
3 Rh 0.0000 0.0000 0.5000

***

> Among the records above, which one has the lowest final energy?

PrPu5Pt6

***

> Among the records above, which one has the lowest final energy?

PrPu5Pt6

***

> Number 4 is which compound?

Ti2CrMoRu

***

> What is the formula in the sixth record?

In3Bi2Pb6